Entry 1:
First-principles (PBE) data for a relaxed structure of MgSi2SnO6, as listed in the Alexandria database.

- total magnetic moment (μB/cell) = 0.000
- raw formation energy (eV/f.u.) = -24.44
- energy above the most stable polymorph in this dataset (eV/atom) = 0.0000
- E (eV/atom) = -7.064

a = 5.429 Å, b = 9.210 Å, c = 19.456 Å
α = 90.00°, β = 90.00°, γ = 90.00°
Positions (direct):
Mg 0.372 0.850 0.375
Mg 0.628 0.150 0.625
Mg 0.372 0.350 0.125
Mg 0.872 0.150 0.125
Mg 0.128 0.850 0.875
Mg 0.628 0.650 0.875
Mg 0.872 0.650 0.375
Mg 0.128 0.350 0.625
Si 0.494 0.341 0.765
Si 0.299 0.160 0.484
Si 0.201 0.160 0.984
Si 0.006 0.841 0.235
Si 0.994 0.659 0.735
Si 0.506 0.159 0.265
Si 0.799 0.340 0.484
Si 0.299 0.660 0.016
Si 0.201 0.660 0.516
Si 0.006 0.341 0.265
Si 0.506 0.659 0.235
Si 0.494 0.841 0.735
Si 0.701 0.840 0.516
Si 0.994 0.159 0.765
Si 0.701 0.340 0.984
Si 0.799 0.840 0.016
Sn 0.627 0.035 0.879
Sn 0.373 0.965 0.121
Sn 0.127 0.965 0.621
Sn 0.873 0.035 0.379
Sn 0.627 0.535 0.621
Sn 0.373 0.465 0.379
Sn 0.127 0.465 0.879
Sn 0.873 0.535 0.121
O 0.023 0.495 0.305
O 0.760 0.995 0.053
O 0.977 0.505 0.695
O 0.295 0.666 0.931
O 0.795 0.834 0.931
O 0.065 0.767 0.041
O 0.029 0.339 0.180
O 0.971 0.161 0.680
O 0.295 0.166 0.569
O 0.029 0.839 0.320
O 0.523 0.505 0.195
O 0.205 0.666 0.431
O 0.240 0.005 0.947
O 0.529 0.161 0.180
O 0.477 0.995 0.695
O 0.760 0.495 0.447
O 0.523 0.005 0.305
O 0.747 0.260 0.289
O 0.753 0.260 0.789
O 0.435 0.267 0.959
O 0.205 0.166 0.069
O 0.471 0.339 0.680
O 0.260 0.505 0.053
O 0.747 0.760 0.211
O 0.705 0.834 0.431
O 0.471 0.839 0.820
O 0.240 0.505 0.553
O 0.795 0.334 0.569
O 0.740 0.495 0.947
O 0.247 0.240 0.289
O 0.977 0.005 0.805
O 0.253 0.240 0.789
O 0.253 0.740 0.711
O 0.260 0.005 0.447
O 0.705 0.334 0.069
O 0.740 0.995 0.553
O 0.753 0.760 0.711
O 0.935 0.233 0.959
O 0.565 0.233 0.459
O 0.247 0.740 0.211
O 0.565 0.733 0.041
O 0.435 0.767 0.541
O 0.935 0.733 0.541
O 0.529 0.661 0.320
O 0.477 0.495 0.805
O 0.065 0.267 0.459
O 0.971 0.661 0.820
O 0.023 0.995 0.195

Entry 2:
First-principles (PBE) data for a relaxed structure of Al2RuCl, as listed in the Alexandria database.

- total magnetic moment (μB/cell) = 0.000
- raw formation energy (eV/f.u.) = 0.24
- energy above the most stable polymorph in this dataset (eV/atom) = 0.6815
- E (eV/atom) = -4.591

a = 2.974 Å, b = 2.974 Å, c = 8.819 Å
α = 90.00°, β = 90.00°, γ = 116.95°
Positions (direct):
Ru 0.500 0.500 0.794
Al 0.000 0.000 0.998
Al 0.500 0.500 0.252
Cl 0.000 0.000 0.455

Entry 3:
First-principles (PBE) data for a relaxed structure of Sr2LiMgHg, as listed in the Alexandria database.

- total magnetic moment (μB/cell) = 0.000
- formation enthalpy at 0 K (eV/f.u.) = -0.2
- energy above the most stable polymorph in this dataset (eV/atom) = 0.0000
- E (eV/atom) = -1.474

a = 6.263 Å, b = 6.263 Å, c = 5.005 Å
α = 90.00°, β = 90.00°, γ = 90.00°
Positions (direct):
Sr 0.000 0.500 0.000
Sr 0.500 0.000 0.000
Mg 0.500 0.500 0.500
Hg 0.000 0.000 0.000
Li 0.000 0.000 0.500

Entry 4:
First-principles (PBE) data for a relaxed structure of La4DySe5, as listed in the Alexandria database.

- total magnetic moment (μB/cell) = 0.000
- raw formation energy (eV/f.u.) = -19.33
- energy above the most stable polymorph in this dataset (eV/atom) = 0.0096
- E (eV/atom) = -6.107

a = 4.269 Å, b = 4.269 Å, c = 15.403 Å
α = 97.97°, β = 97.97°, γ = 90.00°
Positions (direct):
La 0.400 0.400 0.800
La 0.802 0.802 0.605
La 0.198 0.198 0.395
La 0.600 0.600 0.200
Dy 0.000 0.000 0.000
Se 0.096 0.096 0.191
Se 0.500 0.500 0.000
Se 0.904 0.904 0.809
Se 0.299 0.299 0.598
Se 0.701 0.701 0.402